VASP calculation (meta-GGA SCAN) on FeCoIr2 at its PBEsol-relaxed geometry.

Calculated total energy: -177.6 eV/f.u.
ΔE_f: 0.005 eV/atom

Geometry as extended XYZ:
```
4
Lattice="-2.4291 0.1804 -1.0394 -2.0417 -1.1953 1.1901 -2.8977 6.5265 4.5308" Properties=species:S:1:pos:R:3 pbc="T T T"
Co -3.6983 2.8245 2.3856
Ir -1.8588 1.4591 1.2233
Ir -2.8817 6.4487 4.4801
Fe -5.5116 4.0616 3.4640
```